No. 1
VASP calculation (PBE-GGA) on an optimized crystal structure of KAg4Hg.

abc: 8.1395 8.1395 8.1395
angles: 90.00 90.00 90.00
Closest atoms and distances in Å follow each position.
Space group F-43m (No. 216)
Inequivalent atoms, fractional coordinates:
K  0.0000  0.0000  0.0000 x4  12 Ag 3.38, 4 Hg 3.52
Ag  0.1246  0.1246  0.3754 x16  6 Ag 2.87-2.89
Hg  0.2500  0.2500  0.7500 x4  12 Ag 3.37, 4 K 3.52

Summary:
magnetic moment	0.000	μB/cell
E	-0.15603	Ry/atom
ρ	8.27	g/cm³

***

No. 2
VASP calculation (PBE-GGA) on an optimized crystal structure of KAg2Hg.

abc: 7.3483 7.3483 7.3483
angles: 90.00 90.00 90.00
Closest atoms and distances in Å follow each position.
Space group Fm-3m (No. 225)
Inequivalent atoms, fractional coordinates:
K  0.0000  0.0000  0.0000 x4  8 Ag 3.18
Ag  0.2500  0.2500  0.2500 x8  4 Hg 3.18, 4 K 3.18
Hg  0.0000  0.0000  0.5000 x4  8 Ag 3.18

Summary:
energy relative to the lowest polymorph listed for this composition	180	meV per atom
magnetic moment	0.000	μB/cell
ρ	7.62	g/cm³

***

No. 3
VASP calculation (PBE-GGA) on an optimized crystal structure of KAg2Hg2.

abc: 8.7852 8.7852 3.1280
angles: 90.00 90.00 90.00
Closest atoms and distances in Å follow each position.
Space group P4/mbm (No. 127)
Inequivalent atoms, fractional coordinates:
K  0.0000  0.0000  0.0000 x2  2 K 3.13, 4 Hg 3.45
Ag  0.1673  0.3327  0.5000 x4  6 Hg 2.97-3.06, 2 Ag 3.13
Hg  0.1292  0.6292  0.0000 x4  6 Ag 2.97-3.06, 3 Hg 3.13-3.21

Summary:
energy relative to the lowest polymorph listed for this composition	44	meV per atom
magnetic moment	0.000	μB/cell
ρ	9.02	g/cm³

***

What did the second record say?
VASP calculation (PBE-GGA) on an optimized crystal structure of KAg2Hg.

abc: 7.3483 7.3483 7.3483
angles: 90.00 90.00 90.00
Closest atoms and distances in Å follow each position.
Space group Fm-3m (No. 225)
Inequivalent atoms, fractional coordinates:
K  0.0000  0.0000  0.0000 x4  8 Ag 3.18
Ag  0.2500  0.2500  0.2500 x8  4 Hg 3.18, 4 K 3.18
Hg  0.0000  0.0000  0.5000 x4  8 Ag 3.18

Summary:
energy relative to the lowest polymorph listed for this composition	180	meV per atom
magnetic moment	0.000	μB/cell
ρ	7.62	g/cm³